1.
MgTlGa | PBE-GGA | optimized geometry

Lattice parameters (Å, degrees): 4.1261 8.5259 4.1720 92.85 89.57 82.13
Last column: nearest neighbours and their distance in Å.
Atoms (fractional coordinates):
Tl: 0.9746 0.7697 0.5117  1 Ga 2.82
Tl: 0.5241 0.6060 0.9975  1 Ga 2.84
Ga: 0.7962 0.1008 0.4966  2 Ga 2.56-2.57, 1 Tl 2.82
Ga: 0.7578 0.2772 0.0133  2 Ga 2.56-2.57, 1 Tl 2.84
Mg: 0.3276 0.0239 0.9958  6 Ga 2.96-3.06
Mg: 0.2250 0.3495 0.5127  6 Ga 2.94-3.07, 1 Tl 3.28

Computed properties:
Symmetry: P1 (1)
Formation energy from the elements in meV per atom: -16
Energy in eV/atom: -2.345



2.
K3Dy3HoTe8 | PBE-GGA | optimized geometry

Lattice parameters (Å, degrees): 8.7721 8.7771 9.9081 116.30 90.00 119.99
Last column: nearest neighbours and their distance in Å.
Atoms (fractional coordinates):
Te: 0.2364 0.4729 0.7076  2 Dy 3.08, 1 Ho 3.10
Te: 0.7364 0.4727 0.7090  3 Dy 3.10
Te: 0.2651 0.0286 0.2924  2 Dy 3.08-3.09, 1 Ho 3.09
Te: 0.2365 0.9713 0.7076  2 Dy 3.08-3.09, 1 Ho 3.10
Te: 0.7349 0.9714 0.7076  2 Dy 3.08-3.09, 1 Ho 3.09
Te: 0.7636 0.5271 0.2924  2 Dy 3.08, 1 Ho 3.10
Te: 0.2636 0.5273 0.2910  3 Dy 3.10
Te: 0.7635 0.0287 0.2924  2 Dy 3.08-3.09, 1 Ho 3.10
Ho: 0.0000 0.0000 0.5000  6 Te 3.09-3.10
K: 0.5000 0.5000 0.0000  6 Te 3.54-3.55
K: 0.0000 0.0000 0.0000  6 Te 3.54-3.55
K: 0.0000 0.5000 0.0000  6 Te 3.54-3.55
Dy: 0.5000 0.0000 0.5000  6 Te 3.08-3.10
Dy: 0.0000 0.5000 0.5000  6 Te 3.08-3.10
Dy: 0.5000 0.5000 0.5000  6 Te 3.08-3.10

Computed properties:
Symmetry: R-3m (166)
Formation energy from raw total energies in eV per atom: -1.320
Energy in eV/atom: -4.440



3.
Dy5HfAg4 | PBE-GGA | optimized geometry

Lattice parameters (Å, degrees): 3.5458 3.5458 19.4616 90.00 90.00 90.00
Last column: nearest neighbours and their distance in Å.
Atoms (fractional coordinates):
Dy: 0.5000 0.5000 0.8875  4 Ag 3.15, 4 Hf 3.33
Dy: 0.5000 0.5000 0.6930  8 Ag 3.14
Dy: 0.5000 0.5000 0.5000  8 Ag 3.12
Dy: 0.5000 0.5000 0.3070  8 Ag 3.14
Dy: 0.5000 0.5000 0.1125  4 Ag 3.15, 4 Hf 3.33
Ag: 0.0000 0.0000 0.2103  8 Dy 3.14-3.15
Ag: 0.0000 0.0000 0.7897  8 Dy 3.14-3.15
Ag: 0.0000 0.0000 0.4045  8 Dy 3.12-3.14
Ag: 0.0000 0.0000 0.5955  8 Dy 3.12-3.14
Hf: 0.0000 0.0000 0.0000  8 Dy 3.33, 4 Hf 3.55

Computed properties:
Symmetry: P4/mmm (123)
Formation energy from the elements in meV per atom: -212
Energy in eV/atom: -4.649



4.
MoRuRh4 | PBE-GGA | optimized geometry

Lattice parameters (Å, degrees): 5.0342 5.0342 5.0342 60.00 60.00 60.00
Last column: nearest neighbours and their distance in Å.
Atoms (fractional coordinates):
Rh: 0.3753 0.8740 0.3753  6 Rh 2.51-2.52
Rh: 0.3753 0.3753 0.8740  6 Rh 2.51-2.52
Rh: 0.8740 0.3753 0.3753  6 Rh 2.51-2.52
Rh: 0.3753 0.3753 0.3753  6 Rh 2.51-2.52
Mo: 0.0000 0.0000 0.0000  12 Rh 2.95, 4 Ru 3.08
Ru: 0.7500 0.7500 0.7500  12 Rh 2.95, 4 Mo 3.08

Computed properties:
Symmetry: F-43m (216)
Formation energy from the elements in meV per atom: 336
Relative energy among the computed polymorphs in meV/atom: 478
Energy in eV/atom: -7.916



Calculated total magnetic moment (μB per formula unit), listed in the same order as above: 0.000, 0.000, 0.000, 0.000